{
  "formula": "Ba3In8Ga3",
  "functional": "GGA-PBE",
  "state": "relaxed",
  "lattice": [[-2.318, 4.144, 1.145], [-5.988, 1.560, -7.358], [-8.686, -2.766, 2.844]],
  "species": ["Ba", "Ba", "Ba", "In", "In", "In", "In", "In", "In", "In", "In", "Ga", "Ga", "Ga"],
  "fractional_positions": [[0.319, 0.679, 0.683], [0.681, 0.321, 0.317], [0.000, 0.000, 0.000], [0.145, 0.129, 0.582], [0.855, 0.871, 0.418], [0.844, 0.422, 0.890], [0.156, 0.578, 0.110], [0.503, 0.712, 0.281], [0.497, 0.288, 0.719], [0.336, 0.044, 0.284], [0.664, 0.956, 0.716], [0.000, 0.500, 0.500], [0.662, 0.711, 0.965], [0.338, 0.289, 0.035]],
  "delta_e_f_ev_per_atom": -0.342,
  "n_ef_per_ev_cell": 5.93,
  "crystal_system": "monoclinic",
  "dft_energy_ev_per_atom": -2.97
}

{
  "formula": "Li4Zr3BeS8",
  "functional": "GGA-PBE",
  "state": "relaxed",
  "lattice": [[7.213, 0.000, 0.000], [0.000, 7.425, 0.141], [-3.606, -3.601, 5.104]],
  "species": ["Li", "Li", "Li", "Li", "Zr", "Zr", "Zr", "Be", "S", "S", "S", "S", "S", "S", "S", "S"],
  "fractional_positions": [[0.500, 0.000, 0.000], [0.500, 0.000, 0.500], [0.000, 0.000, 0.000], [0.000, 0.000, 0.500], [0.500, 0.500, 0.000], [0.500, 0.500, 0.500], [0.000, 0.500, 0.500], [0.000, 0.500, 0.000], [0.236, 0.736, 0.000], [0.236, 0.736, 0.472], [0.249, 0.246, 0.497], [0.764, 0.736, 0.000], [0.236, 0.264, 0.000], [0.751, 0.754, 0.503], [0.764, 0.264, 0.528], [0.764, 0.264, 0.000]],
  "n_ef_per_ev_cell": 4.77,
  "crystal_system": "trigonal",
  "dft_energy_ev_per_atom": -5.74,
  "raw_formation_energy_ev_per_fu": -21.761
}

{
  "formula": "MgCoRe",
  "functional": "GGA-PBE",
  "state": "relaxed",
  "lattice": [[3.788, 0.000, 0.000], [0.000, 3.788, 0.000], [0.000, 0.000, 6.717]],
  "species": ["Re", "Re", "Mg", "Mg", "Co", "Co"],
  "fractional_positions": [[0.000, 0.000, 0.500], [0.500, 0.500, 0.500], [0.000, 0.500, 0.857], [0.500, 0.000, 0.143], [0.000, 0.500, 0.264], [0.500, 0.000, 0.736]],
  "delta_e_f_ev_per_atom": 0.296,
  "n_ef_per_ev_cell": 5.92,
  "crystal_system": "tetragonal",
  "dft_energy_ev_per_atom": -6.75
}

{
  "formula": "Ag3MoPb",
  "functional": "GGA-PBE",
  "state": "relaxed",
  "lattice": [[5.272, 0.000, 0.000], [0.000, 5.272, 0.000], [0.000, 0.000, 5.272]],
  "species": ["Pb", "Mo", "Ag", "Ag", "Ag"],
  "fractional_positions": [[0.000, 0.000, 0.000], [0.500, 0.500, 0.500], [0.000, 0.500, 0.000], [0.000, 0.000, 0.500], [0.500, 0.000, 0.000]],
  "delta_e_f_ev_per_atom": 1.420,
  "n_ef_per_ev_cell": 1.32,
  "crystal_system": "cubic",
  "dft_energy_ev_per_atom": -3.20
}